# 1
Material: CsYPd
Method: DFT, GGA-PBE
State: relaxed

Summary:
SG = F-43m, No. 216
total DFT energy (no corrections) = -11.48 eV per cell

Unit cell a=5.243 b=5.243 c=5.243 alpha=60.00 beta=60.00 gamma=60.00
Element x y z (fractional)
1 Cs 0.000 0.000 0.000
2 Y 0.500 0.500 0.500
3 Pd 0.750 0.750 0.750

# 2
Material: CsZnPd
Method: DFT, GGA-PBE
State: relaxed

Summary:
polymorph energy (0 for the lowest one) = 452.1 meV per atom
SG = F-43m, No. 216

Unit cell a=5.595 b=5.595 c=5.595 alpha=60.00 beta=60.00 gamma=60.00
Element x y z (fractional)
1 Cs 0.000 0.000 0.000
2 Zn 0.250 0.250 0.250
3 Pd 0.750 0.750 0.750

# 3
Material: CsZnPd
Method: DFT, GGA-PBE
State: relaxed

Summary:
polymorph energy (0 for the lowest one) = 0.0 meV per atom
SG = F-43m, No. 216

Unit cell a=5.157 b=5.157 c=5.157 alpha=60.00 beta=60.00 gamma=60.00
Element x y z (fractional)
1 Cs 0.000 0.000 0.000
2 Zn 0.500 0.500 0.500
3 Pd 0.250 0.250 0.250

# 4
Material: CsZrPd
Method: DFT, GGA-PBE
State: relaxed

Summary:
polymorph energy (0 for the lowest one) = 0.0 meV per atom
SG = F-43m, No. 216

Unit cell a=5.037 b=5.037 c=5.037 alpha=60.00 beta=60.00 gamma=60.00
Element x y z (fractional)
1 Cs 0.000 0.000 0.000
2 Zr 0.500 0.500 0.500
3 Pd 0.250 0.250 0.250

# 5
Material: CsZrPd
Method: DFT, GGA-PBE
State: relaxed

Summary:
polymorph energy (0 for the lowest one) = 452.4 meV per atom
SG = F-43m, No. 216

Unit cell a=4.817 b=4.817 c=4.817 alpha=60.00 beta=60.00 gamma=60.00
Element x y z (fractional)
1 Cs 0.000 0.000 0.000
2 Zr 0.250 0.250 0.250
3 Pd 0.750 0.750 0.750

# 6
Material: CsPm3
Method: DFT, GGA-PBE
State: relaxed

Summary:
SG = I4/mmm, No. 139
total DFT energy (no corrections) = -12.80 eV per cell

Unit cell a=6.579 b=6.579 c=6.579 alpha=131.71 beta=131.71 gamma=70.69
Element x y z (fractional)
1 Cs 0.000 0.000 0.000
2 Pm 0.250 0.750 0.500
3 Pm 0.500 0.500 0.000
4 Pm 0.750 0.250 0.500

Which formula does entry 6 have? CsPm3